[1]
Entry from the Alexandria database: a geometry-optimized KMgAgF4 structure (PBE-GGA).

Unit cell a=7.0555 b=7.0555 c=7.0555 alpha=147.25 beta=147.25 gamma=47.00
Element x y z (fractional)
K  0.0000  0.0000  0.0000
Mg  0.6522  0.6522  0.0000
Ag  0.3023  0.3023  0.0000
F  0.1509  0.6509  0.5000
F  0.4913  0.4913  0.0000
F  0.6509  0.1509  0.5000
F  0.8057  0.8057  0.0000

## Properties
Crystal system ... tetragonal
D(E_F) ... 0.00 states/eV per atom
Formation energy without anion corrections ... -2.587 eV/atom

=====

[2]
Entry from the Alexandria database: a geometry-optimized Li2Sc2NbGa5 structure (PBE-GGA).

Unit cell a=9.0925 b=9.0925 c=3.9690 alpha=90.00 beta=90.00 gamma=90.00
Element x y z (fractional)
Li  0.1254  0.3746  0.0000
Li  0.3746  0.8746  0.0000
Li  0.6254  0.1254  0.0000
Li  0.8746  0.6254  0.0000
Sc  0.1712  0.6712  0.0000
Sc  0.3288  0.1712  0.0000
Sc  0.6712  0.8288  0.0000
Sc  0.8288  0.3288  0.0000
Nb  0.0000  0.0000  0.0000
Nb  0.5000  0.5000  0.0000
Ga  0.0000  0.5000  0.5000
Ga  0.0778  0.2043  0.5000
Ga  0.2043  0.9222  0.5000
Ga  0.2957  0.4222  0.5000
Ga  0.4222  0.7043  0.5000
Ga  0.5000  0.0000  0.5000
Ga  0.5778  0.2957  0.5000
Ga  0.7043  0.5778  0.5000
Ga  0.7957  0.0778  0.5000
Ga  0.9222  0.7957  0.5000

## Properties
Crystal system ... tetragonal
D(E_F) ... 0.52 states/eV per atom
ΔE_f ... -0.36 eV/atom

=====

[3]
Entry from the Alexandria database: a geometry-optimized BaPrBeN2 structure (PBE-GGA).

Unit cell a=5.4108 b=5.6503 c=7.1293 alpha=90.00 beta=90.00 gamma=90.00
Element x y z (fractional)
Ba  0.0000  0.0000  0.2500
Ba  0.0000  0.0000  0.7500
Pr  0.5000  0.5000  0.2500
Pr  0.5000  0.5000  0.7500
Be  0.0000  0.5000  0.0000
Be  0.0000  0.5000  0.5000
N  0.2301  0.3390  0.0000
N  0.2301  0.6610  0.5000
N  0.7699  0.3390  0.5000
N  0.7699  0.6610  0.0000

## Properties
Crystal system ... orthorhombic
D(E_F) ... 0.41 states/eV per atom
Formation energy without anion corrections ... -0.726 eV/atom

=====

[4]
Entry from the Alexandria database: a geometry-optimized ZnAs2Ru structure (PBE-GGA).

Unit cell a=4.4855 b=4.4855 c=4.4855 alpha=60.00 beta=60.00 gamma=60.00
Element x y z (fractional)
Zn  0.0000  0.0000  0.0000
As  0.2500  0.2500  0.2500
As  0.5000  0.5000  0.5000
Ru  0.7500  0.7500  0.7500

## Properties
Crystal system ... cubic
D(E_F) ... 0.69 states/eV per atom
ΔE_f ... 0.40 eV/atom

=====

[5]
Entry from the Alexandria database: a geometry-optimized Ag2HgMo structure (PBE-GGA).

Unit cell a=2.8473 b=2.8473 c=8.8707 alpha=90.00 beta=90.00 gamma=90.00
Element x y z (fractional)
Ag  0.0000  0.0000  0.0000
Ag  0.5000  0.5000  0.2460
Hg  0.0000  0.0000  0.5114
Mo  0.5000  0.5000  0.7621

## Properties
Crystal system ... tetragonal
D(E_F) ... 0.45 states/eV per atom
ΔE_f ... 0.38 eV/atom

=====

[6]
Entry from the Alexandria database: a geometry-optimized TbTmSe structure (PBE-GGA).

Unit cell a=3.8228 b=3.8228 c=6.5168 alpha=90.00 beta=90.00 gamma=120.00
Element x y z (fractional)
Tb  0.0000  0.0000  0.0000
Tm  0.3333  0.6667  0.5623
Se  0.6667  0.3333  0.2864

## Properties
Crystal system ... trigonal
D(E_F) ... 0.79 states/eV per atom
Formation energy without anion corrections ... -1.094 eV/atom
E above lowest polymorph ... 0.0000 eV per atom

=====

[7]
Entry from the Alexandria database: a geometry-optimized GdMgGe2 structure (PBE-GGA).

Unit cell a=4.9569 b=4.9569 c=4.9569 alpha=60.00 beta=60.00 gamma=60.00
Element x y z (fractional)
Gd  0.0000  0.0000  0.0000
Mg  0.5000  0.5000  0.5000
Ge  0.2500  0.2500  0.2500
Ge  0.7500  0.7500  0.7500

## Properties
Crystal system ... cubic
D(E_F) ... 0.64 states/eV per atom
ΔE_f ... -0.38 eV/atom
E above lowest polymorph ... 0.1123 eV per atom

=====

[8]
Entry from the Alexandria database: a geometry-optimized Ce3InGe2Au6 structure (PBE-GGA).

Unit cell a=6.2679 b=6.2679 c=8.4497 alpha=90.00 beta=90.00 gamma=120.00
Element x y z (fractional)
Ce  0.0000  0.0000  0.0000
Ce  0.3333  0.6667  0.6411
Ce  0.6667  0.3333  0.3589
In  0.0000  0.0000  0.5000
Ge  0.3333  0.6667  0.0219
Ge  0.6667  0.3333  0.9781
Au  0.1807  0.3614  0.2694
Au  0.1807  0.8193  0.2694
Au  0.3614  0.1807  0.7306
Au  0.6386  0.8193  0.2694
Au  0.8193  0.1807  0.7306
Au  0.8193  0.6386  0.7306

## Properties
Crystal system ... trigonal
D(E_F) ... 2.11 states/eV per atom
ΔE_f ... -0.37 eV/atom

=====

[9]
Entry from the Alexandria database: a geometry-optimized Pr2Ga3Cu2 structure (PBE-GGA).

Unit cell a=9.5933 b=9.5933 c=7.0520 alpha=90.00 beta=90.00 gamma=153.60
Element x y z (fractional)
Pr  0.0566  0.9434  0.7500
Pr  0.1615  0.8385  0.2500
Pr  0.8385  0.1615  0.7500
Pr  0.9434  0.0566  0.2500
Ga  0.2241  0.7759  0.7500
Ga  0.4386  0.5614  0.5713
Ga  0.4386  0.5614  0.9287
Ga  0.5614  0.4386  0.0713
Ga  0.5614  0.4386  0.4287
Ga  0.7759  0.2241  0.2500
Cu  0.3130  0.6870  0.0668
Cu  0.3130  0.6870  0.4332
Cu  0.6870  0.3130  0.5668
Cu  0.6870  0.3130  0.9332

## Properties
Crystal system ... orthorhombic
D(E_F) ... 0.90 states/eV per atom
ΔE_f ... -0.45 eV/atom
E above lowest polymorph ... 0.0000 eV per atom

=====

[10]
Entry from the Alexandria database: a geometry-optimized NdGePt2 structure (PBE-GGA).

Unit cell a=7.6095 b=7.0905 c=5.8016 alpha=90.00 beta=90.00 gamma=90.00
Element x y z (fractional)
Nd  0.0270  0.2500  0.1441
Nd  0.4730  0.7500  0.6441
Nd  0.5270  0.2500  0.3559
Nd  0.9730  0.7500  0.8559
Ge  0.1224  0.7500  0.3571
Ge  0.3776  0.2500  0.8571
Ge  0.6224  0.7500  0.1429
Ge  0.8776  0.2500  0.6429
Pt  0.1823  0.0523  0.5843
Pt  0.1823  0.4477  0.5843
Pt  0.3177  0.5523  0.0843
Pt  0.3177  0.9477  0.0843
Pt  0.6823  0.0523  0.9157
Pt  0.6823  0.4477  0.9157
Pt  0.8177  0.5523  0.4157
Pt  0.8177  0.9477  0.4157

## Properties
Crystal system ... orthorhombic
D(E_F) ... 0.39 states/eV per atom
ΔE_f ... -0.98 eV/atom

=====

> The lowest D(E_F) belongs to which entry?

KMgAgF4